one) A geometry-optimized Tl3AgB structure, computed with GGA-PBE.

DOS at the Fermi energy ... 0.275 states/eV/atom
Total magnetization ... 0.00 Bohr magnetons per cell

a b c (Å): 4.994 4.994 4.994
angles (deg): 90.00 90.00 90.00
Sites, in units of the cell vectors:
Tl 0.000 0.500 0.000
Tl 0.000 0.000 0.500
Tl 0.500 0.000 0.000
B 0.000 0.000 0.000
Ag 0.500 0.500 0.500

***

two) A geometry-optimized Tl3AgB structure, computed with GGA-PBE.

DOS at the Fermi energy ... 0.674 states/eV/atom
Total magnetization ... 0.00 Bohr magnetons per cell

a b c (Å): 5.488 5.488 5.488
angles (deg): 90.00 90.00 90.00
Sites, in units of the cell vectors:
Tl 0.000 0.500 0.000
Tl 0.000 0.000 0.500
Tl 0.500 0.000 0.000
B 0.500 0.500 0.500
Ag 0.000 0.000 0.000

***

Most stable structure: one)

***

one) A geometry-optimized VAg3B structure, computed with GGA-PBE.

DOS at the Fermi energy ... 1.089 states/eV/atom
Total magnetization ... 3.17 Bohr magnetons per cell

a b c (Å): 4.360 4.360 4.360
angles (deg): 90.00 90.00 90.00
Site moments in Bohr magnetons follow the coordinates.
Sites, in units of the cell vectors:
B 0.000 0.000 0.000  -0.11
Ag 0.000 0.500 0.000  -0.01
Ag 0.000 0.000 0.500  -0.01
Ag 0.500 0.000 0.000  -0.01
V 0.500 0.500 0.500  2.78

***

two) A geometry-optimized VAg3B structure, computed with GGA-PBE.

DOS at the Fermi energy ... 1.140 states/eV/atom
Total magnetization ... 3.51 Bohr magnetons per cell

a b c (Å): 5.009 5.009 5.009
angles (deg): 90.00 90.00 90.00
Site moments in Bohr magnetons follow the coordinates.
Sites, in units of the cell vectors:
B 0.500 0.500 0.500  -0.01
Ag 0.000 0.500 0.000  0.11
Ag 0.000 0.000 0.500  0.11
Ag 0.500 0.000 0.000  0.11
V 0.000 0.000 0.000  2.66

***

Most stable structure: one)

***

one) A geometry-optimized V3AgB structure, computed with GGA-PBE.

DOS at the Fermi energy ... 1.972 states/eV/atom
Total magnetization ... 4.57 Bohr magnetons per cell

a b c (Å): 4.688 4.688 4.688
angles (deg): 90.00 90.00 90.00
Site moments in Bohr magnetons follow the coordinates.
Sites, in units of the cell vectors:
B 0.500 0.500 0.500  -0.19
Ag 0.000 0.000 0.000  0.08
V 0.000 0.500 0.000  1.47
V 0.000 0.000 0.500  1.47
V 0.500 0.000 0.000  1.47

***

two) A geometry-optimized V3AgB structure, computed with GGA-PBE.

DOS at the Fermi energy ... 0.774 states/eV/atom
Total magnetization ... 1.16 Bohr magnetons per cell

a b c (Å): 4.082 4.082 4.082
angles (deg): 90.00 90.00 90.00
Site moments in Bohr magnetons follow the coordinates.
Sites, in units of the cell vectors:
B 0.000 0.000 0.000  -0.03
Ag 0.500 0.500 0.500  0.02
V 0.000 0.500 0.000  0.35
V 0.000 0.000 0.500  0.35
V 0.500 0.000 0.000  0.35

***

Most stable structure: two)

***

one) A geometry-optimized AgB3W structure, computed with GGA-PBE.

DOS at the Fermi energy ... 1.251 states/eV/atom
Total magnetization ... 0.00 Bohr magnetons per cell

a b c (Å): 4.029 4.029 4.029
angles (deg): 90.00 90.00 90.00
Sites, in units of the cell vectors:
B 0.000 0.500 0.000
B 0.000 0.000 0.500
B 0.500 0.000 0.000
Ag 0.000 0.000 0.000
W 0.500 0.500 0.500

***

two) A geometry-optimized AgB3W structure, computed with GGA-PBE.

DOS at the Fermi energy ... 0.372 states/eV/atom
Total magnetization ... 0.00 Bohr magnetons per cell

a b c (Å): 4.205 4.205 4.205
angles (deg): 90.00 90.00 90.00
Sites, in units of the cell vectors:
B 0.000 0.500 0.000
B 0.000 0.000 0.500
B 0.500 0.000 0.000
Ag 0.500 0.500 0.500
W 0.000 0.000 0.000

***

Most stable structure: two)

***

one) A geometry-optimized YAgB3 structure, computed with GGA-PBE.

DOS at the Fermi energy ... 0.970 states/eV/atom
Total magnetization ... 0.00 Bohr magnetons per cell

a b c (Å): 4.665 4.665 4.665
angles (deg): 90.00 90.00 90.00
Sites, in units of the cell vectors:
Y 0.000 0.000 0.000
B 0.000 0.500 0.000
B 0.000 0.000 0.500
B 0.500 0.000 0.000
Ag 0.500 0.500 0.500

***

two) A geometry-optimized YAgB3 structure, computed with GGA-PBE.

DOS at the Fermi energy ... 0.545 states/eV/atom
Total magnetization ... 0.00 Bohr magnetons per cell

a b c (Å): 4.218 4.218 4.218
angles (deg): 90.00 90.00 90.00
Sites, in units of the cell vectors:
Y 0.500 0.500 0.500
B 0.000 0.500 0.000
B 0.000 0.000 0.500
B 0.500 0.000 0.000
Ag 0.000 0.000 0.000

***

Most stable structure: two)

***

one) A geometry-optimized YAg3B structure, computed with GGA-PBE.

DOS at the Fermi energy ... 0.653 states/eV/atom
Total magnetization ... 0.00 Bohr magnetons per cell

a b c (Å): 5.530 5.530 5.530
angles (deg): 90.00 90.00 90.00
Sites, in units of the cell vectors:
Y 0.000 0.000 0.000
B 0.500 0.500 0.500
Ag 0.000 0.500 0.000
Ag 0.000 0.000 0.500
Ag 0.500 0.000 0.000

***

two) A geometry-optimized YAg3B structure, computed with GGA-PBE.

DOS at the Fermi energy ... 0.457 states/eV/atom
Total magnetization ... 0.00 Bohr magnetons per cell

a b c (Å): 4.497 4.497 4.497
angles (deg): 90.00 90.00 90.00
Sites, in units of the cell vectors:
Y 0.500 0.500 0.500
B 0.000 0.000 0.000
Ag 0.000 0.500 0.000
Ag 0.000 0.000 0.500
Ag 0.500 0.000 0.000

***

Most stable structure: two)